Entry 1:
Below is a relaxed AgGe2Cl5 crystal, with properties calculated at the GGA-PBE level.

The structure in CIF format:
```
data_AgGe2Cl5
_chemical_formula_sum 'Ag4 Ge8 Cl20'
_space_group_name_H-M_alt 'P 1 21/c 1'
_space_group_IT_number 14
_cell_length_a 9.7630
_cell_length_b 7.2882
_cell_length_c 13.8940
_cell_angle_alpha 90.00
_cell_angle_beta 106.89
_cell_angle_gamma 90.00
loop_
_space_group_symop_operation_xyz
'x,y,z'
'-x,-y,-z'
'-x,y+1/2,-z+1/2'
'x,-y+1/2,z+1/2'
loop_
_atom_site_label
_atom_site_fract_x
_atom_site_fract_y
_atom_site_fract_z
_atom_site_occupancy
Ag1 0.0000 0.0000 0.0000 1
Ag2 0.5000 0.0000 0.0000 1
Ge1 0.1105 0.0612 0.3718 1
Ge2 0.3554 0.0093 0.7013 1
Cl1 0.0731 0.2047 0.2178 1
Cl2 0.1223 0.6567 0.1034 1
Cl3 0.2114 0.1737 0.9781 1
Cl4 0.3860 0.6877 0.3425 1
Cl5 0.4848 0.6789 0.1242 1
```

=====

Entry 2:
Below is a relaxed AgGeCl2 crystal, with properties calculated at the GGA-PBE level.

The structure in CIF format:
```
data_AgGeCl2
_chemical_formula_sum 'Ag4 Ge4 Cl8'
_space_group_name_H-M_alt 'F m -3 m'
_space_group_IT_number 225
_space_group_name_Hall '-F 4 2 3'
_cell_length_a 6.9320
_cell_length_b 6.9320
_cell_length_c 6.9320
_cell_angle_alpha 90.00
_cell_angle_beta 90.00
_cell_angle_gamma 90.00
loop_
_atom_site_label
_atom_site_fract_x
_atom_site_fract_y
_atom_site_fract_z
_atom_site_occupancy
Ag1 0.0000 0.0000 0.0000 1
Ge1 0.0000 0.0000 0.5000 1
Cl1 0.2500 0.2500 0.2500 1
```

=====

Entry 3:
Below is a relaxed Ag3GeCl crystal, with properties calculated at the GGA-PBE level.

The structure in CIF format:
```
data_Ag3GeCl
_chemical_formula_sum 'Ag3 Ge1 Cl1'
_space_group_name_H-M_alt 'P m -3 m'
_space_group_IT_number 221
_space_group_name_Hall '-P 4 2 3'
_cell_length_a 4.9929
_cell_length_b 4.9929
_cell_length_c 4.9929
_cell_angle_alpha 90.00
_cell_angle_beta 90.00
_cell_angle_gamma 90.00
loop_
_atom_site_label
_atom_site_fract_x
_atom_site_fract_y
_atom_site_fract_z
_atom_site_occupancy
Ag1 0.0000 0.0000 0.5000 1
Ge1 0.5000 0.5000 0.5000 1
Cl1 0.0000 0.0000 0.0000 1
```

=====

Entry 4:
Below is a relaxed AgGeCl2 crystal, with properties calculated at the GGA-PBE level.

The structure in CIF format:
```
data_AgGeCl2
_chemical_formula_sum 'Ag4 Ge4 Cl8'
_space_group_name_H-M_alt 'I -4 2 d'
_space_group_IT_number 122
_space_group_name_Hall 'I -4 2bw'
_cell_length_a 5.0319
_cell_length_b 5.0319
_cell_length_c 16.3226
_cell_angle_alpha 90.00
_cell_angle_beta 90.00
_cell_angle_gamma 90.00
loop_
_atom_site_label
_atom_site_fract_x
_atom_site_fract_y
_atom_site_fract_z
_atom_site_occupancy
Ag1 0.0000 0.0000 0.0000 1
Ge1 0.0000 0.0000 0.5000 1
Cl1 0.2495 0.2500 0.1250 1
```

=====

Entry 5:
Below is a relaxed Ag2GeCl6 crystal, with properties calculated at the GGA-PBE level.

The structure in CIF format:
```
data_Ag2GeCl6
_chemical_formula_sum 'Ag8 Ge4 Cl24'
_space_group_name_H-M_alt 'C 1 2/c 1'
_space_group_IT_number 15
_cell_length_a 16.5396
_cell_length_b 13.5561
_cell_length_c 6.3168
_cell_angle_alpha 90.00
_cell_angle_beta 110.71
_cell_angle_gamma 90.00
loop_
_space_group_symop_operation_xyz
'x,y,z'
'-x,-y,-z'
'-x,y,-z+1/2'
'x,-y,z+1/2'
'x+1/2,y+1/2,z'
'-x+1/2,-y+1/2,-z'
'-x+1/2,y+1/2,-z+1/2'
'x+1/2,-y+1/2,z+1/2'
loop_
_atom_site_label
_atom_site_fract_x
_atom_site_fract_y
_atom_site_fract_z
_atom_site_occupancy
Ag1 0.2071 0.0010 0.3829 1
Ge1 0.0000 0.3019 0.2500 1
Cl1 0.0664 0.2122 0.5364 1
Cl2 0.0905 0.3939 0.1705 1
Cl3 0.2065 0.1306 0.1299 1
```

=====

Entry 6:
Below is a relaxed AgGeCl3 crystal, with properties calculated at the GGA-PBE level.

The structure in CIF format:
```
data_AgGeCl3
_chemical_formula_sum 'Ag4 Ge4 Cl12'
_space_group_name_H-M_alt 'P 1 21/c 1'
_space_group_IT_number 14
_cell_length_a 7.5153
_cell_length_b 7.4248
_cell_length_c 10.6040
_cell_angle_alpha 90.00
_cell_angle_beta 91.20
_cell_angle_gamma 90.00
loop_
_space_group_symop_operation_xyz
'x,y,z'
'-x,-y,-z'
'-x,y+1/2,-z+1/2'
'x,-y+1/2,z+1/2'
loop_
_atom_site_label
_atom_site_fract_x
_atom_site_fract_y
_atom_site_fract_z
_atom_site_occupancy
Ag1 0.1249 0.2339 0.0253 1
Ge1 0.2473 0.6620 0.2244 1
Cl1 0.0490 0.0629 0.3248 1
Cl2 0.2175 0.5927 0.4474 1
Cl3 0.3736 0.1160 0.6625 1
```

=====

Entry 7:
Below is a relaxed AgGeCl6 crystal, with properties calculated at the GGA-PBE level.

The structure in CIF format:
```
data_AgGeCl6
_chemical_formula_sum 'Ag1 Ge1 Cl6'
_space_group_name_H-M_alt 'P -1'
_space_group_IT_number 2
_cell_length_a 5.7897
_cell_length_b 6.5642
_cell_length_c 7.4085
_cell_angle_alpha 112.77
_cell_angle_beta 111.40
_cell_angle_gamma 94.70
loop_
_space_group_symop_operation_xyz
'x,y,z'
'-x,-y,-z'
loop_
_atom_site_label
_atom_site_fract_x
_atom_site_fract_y
_atom_site_fract_z
_atom_site_occupancy
Ag1 0.0000 0.0000 0.0000 1
Ge1 0.5000 0.5000 0.0000 1
Cl1 0.1365 0.3300 0.6986 1
Cl2 0.3252 0.3710 0.1984 1
Cl3 0.3826 0.8515 0.1394 1
```

=====

Entry 8:
Below is a relaxed Ag2GeCl4 crystal, with properties calculated at the GGA-PBE level.

The structure in CIF format:
```
data_Ag2GeCl4
_chemical_formula_sum 'Ag4 Ge2 Cl8'
_space_group_name_H-M_alt 'I -4 2 m'
_space_group_IT_number 121
_space_group_name_Hall 'I -4 2'
_cell_length_a 6.0644
_cell_length_b 6.0644
_cell_length_c 11.8518
_cell_angle_alpha 90.00
_cell_angle_beta 90.00
_cell_angle_gamma 90.00
loop_
_atom_site_label
_atom_site_fract_x
_atom_site_fract_y
_atom_site_fract_z
_atom_site_occupancy
Ag1 0.0000 0.5000 0.2500 1
Ge1 0.0000 0.0000 0.0000 1
Cl1 0.2456 0.2456 0.1242 1
```

=====

Number 1: raw formation energy -16.0 kcal/mol of atoms. Number 2: raw formation energy -1.4 kcal/mol of atoms. Number 3: raw formation energy 15.7 kcal/mol of atoms. Number 4: raw formation energy -2.3 kcal/mol of atoms. Number 5: raw formation energy -15.5 kcal/mol of atoms. Number 6: raw formation energy -15.1 kcal/mol of atoms. Number 7: raw formation energy -11.9 kcal/mol of atoms. Number 8: raw formation energy -12.4 kcal/mol of atoms.